[1]
## La2VCo16 (PBE)

Data for La2VCo16 after structural relaxation.

The structure in POSCAR format:
```
La2VCo16
1.0
-4.667 -3.233 2.851
-0.814 -4.359 -4.549
3.650 -4.510 2.587
Co La V
16 2 1
direct
0.855 0.341 0.341
0.285 0.713 0.999
0.906 0.906 0.906
0.999 0.285 0.713
0.501 0.000 0.000
0.341 0.855 0.341
0.713 0.285 0.999
0.000 0.501 0.000
0.341 0.341 0.855
0.145 0.659 0.659
0.285 0.999 0.713
0.659 0.145 0.659
0.659 0.659 0.145
0.713 0.999 0.285
0.000 0.000 0.501
0.999 0.713 0.285
0.351 0.351 0.351
0.655 0.655 0.655
0.093 0.093 0.093
```

Formation energy from the elements = -0.054 eV/atom
Mass density = 8411 kg/m³
V = 251.1 Å³/cell


[2]
## La2VCo (PBE)

Data for La2VCo after structural relaxation.

The structure in POSCAR format:
```
La2VCo
1.0
-3.961 5.752 -3.592
-5.199 -5.246 -2.669
-6.322 0.666 -0.548
Co La V
2 4 2
direct
0.000 0.000 0.000
0.750 0.250 0.500
0.673 0.125 0.250
0.077 0.625 0.250
0.875 0.923 0.750
0.375 0.327 0.750
0.500 0.500 0.000
0.250 0.750 0.500
```

Formation energy from the elements = 0.494 eV/atom
Energy relative to the lowest polymorph listed for this composition = 155.1 meV per atom
Mass density = 6643 kg/m³
V = 193.8 Å³/cell


[3]
## LaV2Co2 (PBE)

Data for LaV2Co2 after structural relaxation.

The structure in POSCAR format:
```
LaV2Co2
1.0
4.104 0.000 0.000
0.000 4.104 0.000
2.052 2.052 4.981
V La Co
2 1 2
direct
0.250 0.750 0.500
0.750 0.250 0.500
0.000 0.000 0.000
0.634 0.634 0.732
0.366 0.366 0.268
```

Formation energy from the elements = -0.062 eV/atom
Energy relative to the lowest polymorph listed for this composition = 0.0 meV per atom
Mass density = 7097 kg/m³
V = 83.9 Å³/cell


[4]
## LaV2Co (PBE)

Data for LaV2Co after structural relaxation.

The structure in POSCAR format:
```
LaV2Co
1.0
-0.593 0.033 4.528
2.494 -3.810 0.354
7.694 2.604 3.292
V Co La
4 2 2
direct
0.375 0.125 0.250
0.375 0.625 0.750
0.875 0.625 0.750
0.375 0.625 0.250
0.250 0.750 0.500
0.500 0.500 0.000
0.750 0.250 0.500
0.000 0.000 0.000
```

Formation energy from the elements = 0.654 eV/atom
Energy relative to the lowest polymorph listed for this composition = 151.1 meV per atom
Mass density = 5857 kg/m³
V = 170.0 Å³/cell


[5]
## LaCoW2 (PBE)

Data for LaCoW2 after structural relaxation.

The structure in POSCAR format:
```
LaCoW2
1.0
0.415 1.544 3.966
-0.639 -2.555 3.369
5.159 -1.679 2.422
W Co La
2 1 1
direct
0.236 0.236 0.293
0.955 0.955 0.134
0.560 0.560 0.320
0.749 0.749 0.753
```

Formation energy from the elements = 0.453 eV/atom
Energy relative to the lowest polymorph listed for this composition = 0.0 meV per atom
Mass density = 10979 kg/m³
V = 85.5 Å³/cell


[6]
## LaCo2W (PBE)

Data for LaCo2W after structural relaxation.

The structure in POSCAR format:
```
LaCo2W
1.0
-0.494 0.402 -4.425
-4.090 0.358 -1.769
-1.344 3.886 -1.755
Co La W
2 1 1
direct
0.250 0.250 0.250
0.000 0.000 0.000
0.500 0.500 0.500
0.750 0.750 0.750
```

Formation energy from the elements = 0.696 eV/atom
Energy relative to the lowest polymorph listed for this composition = 614.6 meV per atom
Mass density = 11577 kg/m³
V = 63.2 Å³/cell


[7]
## LaCoW (PBE)

Data for LaCoW after structural relaxation.

The structure in POSCAR format:
```
LaCoW
1.0
-2.462 2.083 2.430
-1.419 -1.587 -3.431
-1.097 -3.968 2.289
Co W La
1 1 1
direct
0.000 0.000 0.834
0.333 0.667 0.833
0.667 0.333 0.333
```

Formation energy from the elements = 0.297 eV/atom
Energy relative to the lowest polymorph listed for this composition = 0.0 meV per atom
Mass density = 9531 kg/m³
V = 66.5 Å³/cell


[8]
## LaCoW (PBE)

Data for LaCoW after structural relaxation.

The structure in POSCAR format:
```
LaCoW
1.0
2.959 0.000 0.000
-1.479 2.562 0.000
0.000 0.000 7.406
Co W La
1 1 1
direct
0.000 0.000 0.962
0.333 0.667 0.717
0.667 0.333 0.321
```

Formation energy from the elements = 0.725 eV/atom
Energy relative to the lowest polymorph listed for this composition = 428.7 meV per atom
Mass density = 11290 kg/m³
V = 56.1 Å³/cell


[9]
## La2CoW (PBE)

Data for La2CoW after structural relaxation.

The structure in POSCAR format:
```
La2CoW
1.0
-4.172 -1.998 2.117
-4.563 0.843 -2.085
-2.471 -3.788 -2.330
Co La W
1 2 1
direct
0.000 0.000 0.000
0.750 0.750 0.750
0.250 0.250 0.250
0.500 0.500 0.500
```

Formation energy from the elements = 0.639 eV/atom
Energy relative to the lowest polymorph listed for this composition = 431.4 meV per atom
Mass density = 9285 kg/m³
V = 93.1 Å³/cell


[10]
## LaCoW2 (PBE)

Data for LaCoW2 after structural relaxation.

The structure in POSCAR format:
```
LaCoW2
1.0
-0.919 -4.387 1.275
3.022 -3.401 -1.008
2.473 -2.004 3.403
W Co La
2 1 1
direct
0.000 0.000 0.000
0.250 0.250 0.250
0.500 0.500 0.500
0.750 0.750 0.750
```

Formation energy from the elements = 0.624 eV/atom
Energy relative to the lowest polymorph listed for this composition = 171.5 meV per atom
Mass density = 13124 kg/m³
V = 71.6 Å³/cell


[11]
## LaCoW2 (PBE)

Data for LaCoW2 after structural relaxation.

The structure in POSCAR format:
```
LaCoW2
1.0
2.876 0.000 0.000
0.000 2.876 0.000
0.000 0.000 8.607
W La Co
2 1 1
direct
0.500 0.500 0.284
0.000 0.000 0.036
0.500 0.500 0.728
0.000 0.000 0.452
```

Formation energy from the elements = 0.465 eV/atom
Energy relative to the lowest polymorph listed for this composition = 12.5 meV per atom
Mass density = 13193 kg/m³
V = 71.2 Å³/cell


[12]
## LaCoW (PBE)

Data for LaCoW after structural relaxation.

The structure in POSCAR format:
```
LaCoW
1.0
-0.996 2.910 3.240
-1.369 -1.478 3.987
2.671 0.379 3.561
W La Co
1 1 1
direct
0.750 0.750 0.750
0.500 0.500 0.500
0.000 0.000 0.000
```

Formation energy from the elements = 1.048 eV/atom
Energy relative to the lowest polymorph listed for this composition = 751.2 meV per atom
Mass density = 10053 kg/m³
V = 63.0 Å³/cell


[13]
## LaCo2W (PBE)

Data for LaCo2W after structural relaxation.

The structure in POSCAR format:
```
LaCo2W
1.0
-0.123 -2.602 -3.192
2.779 -1.205 0.876
-1.304 -4.191 3.467
La Co W
1 2 1
direct
0.000 0.491 0.437
0.500 0.088 0.227
0.000 0.178 0.941
0.500 0.743 0.895
```

Formation energy from the elements = 0.294 eV/atom
Energy relative to the lowest polymorph listed for this composition = 213.2 meV per atom
Mass density = 10407 kg/m³
V = 70.3 Å³/cell


[14]
## La2CoW2 (PBE)

Data for La2CoW2 after structural relaxation.

The structure in POSCAR format:
```
La2CoW2
1.0
-1.314 2.628 -5.846
1.512 -5.672 -2.889
-4.845 -1.502 0.414
W Co La
4 2 4
direct
0.138 0.362 0.000
0.362 0.862 0.000
0.862 0.638 0.000
0.638 0.138 0.000
0.000 0.000 0.000
0.500 0.500 0.000
0.678 0.822 0.500
0.178 0.678 0.500
0.822 0.322 0.500
0.322 0.178 0.500
```

Formation energy from the elements = 0.575 eV/atom
Mass density = 10739 kg/m³
V = 217.8 Å³/cell


[15]
## LaCoW2 (PBE)

Data for LaCoW2 after structural relaxation.

The structure in POSCAR format:
```
LaCoW2
1.0
-1.883 4.136 -0.776
-3.598 -1.142 2.647
1.552 1.199 2.627
La W Co
1 2 1
direct
0.000 0.500 0.500
0.500 0.500 0.000
0.000 0.000 0.000
0.500 0.000 0.500
```

Formation energy from the elements = 1.091 eV/atom
Energy relative to the lowest polymorph listed for this composition = 638.2 meV per atom
Mass density = 13477 kg/m³
V = 69.7 Å³/cell


[16]
## LaCoW2 (PBE)

Data for LaCoW2 after structural relaxation.

The structure in POSCAR format:
```
LaCoW2
1.0
5.397 0.023 0.009
1.877 5.060 -0.009
-2.838 -3.686 2.737
La W Co
1 2 1
direct
0.262 0.762 0.500
0.741 0.241 0.500
0.973 0.973 0.000
0.524 0.524 0.000
```

Formation energy from the elements = 0.793 eV/atom
Energy relative to the lowest polymorph listed for this composition = 340.6 meV per atom
Mass density = 12600 kg/m³
V = 74.5 Å³/cell


[17]
## LaCo3W (PBE)

Data for LaCo3W after structural relaxation.

The structure in POSCAR format:
```
LaCo3W
1.0
-1.285 -3.146 2.903
0.438 -3.112 -3.178
4.258 -0.630 1.203
W Co La
1 3 1
direct
0.500 0.500 0.500
0.000 0.500 0.000
0.000 0.000 0.500
0.500 0.000 0.000
0.000 0.000 0.000
```

Formation energy from the elements = 1.980 eV/atom
Energy relative to the lowest polymorph listed for this composition = 1340.7 meV per atom
Mass density = 9291 kg/m³
V = 89.3 Å³/cell


[18]
## LaCoW2 (PBE)

Data for LaCoW2 after structural relaxation.

The structure in POSCAR format:
```
LaCoW2
1.0
9.948 -0.026 -0.015
9.538 2.829 -0.015
9.538 1.372 2.474
W Co La
2 1 1
direct
0.985 0.985 0.985
0.515 0.515 0.515
0.250 0.250 0.250
0.750 0.750 0.750
```

Formation energy from the elements = 0.782 eV/atom
Energy relative to the lowest polymorph listed for this composition = 329.0 meV per atom
Mass density = 13291 kg/m³
V = 70.7 Å³/cell


[19]
## LaCoW2 (PBE)

Data for LaCoW2 after structural relaxation.

The structure in POSCAR format:
```
LaCoW2
1.0
4.025 1.686 1.349
0.779 0.781 4.432
2.927 -2.643 2.305
W Co La
2 1 1
direct
0.250 0.250 0.250
0.750 0.750 0.750
0.000 0.000 0.000
0.500 0.500 0.500
```

Formation energy from the elements = 0.934 eV/atom
Energy relative to the lowest polymorph listed for this composition = 481.7 meV per atom
Mass density = 13936 kg/m³
V = 67.4 Å³/cell


[20]
## La2CoW (PBE)

Data for La2CoW after structural relaxation.

The structure in POSCAR format:
```
La2CoW
1.0
-2.909 1.346 1.439
1.965 -0.785 4.706
2.125 4.701 -0.103
Co La W
1 2 1
direct
0.500 0.000 0.500
0.000 0.500 0.500
0.000 0.000 0.000
0.500 0.500 0.000
```

Formation energy from the elements = 0.612 eV/atom
Energy relative to the lowest polymorph listed for this composition = 404.5 meV per atom
Mass density = 9242 kg/m³
V = 93.5 Å³/cell


Uncorrected energy values (in eV per atom) by entry order: -7.04; -6.03; -7.54; -6.91; -9.03; -7.33; -8.03; -7.60; -6.84; -8.86; -9.02; -7.28; -7.73; -8.00; -8.39; -8.69; -5.86; -8.70; -8.55; -6.87.